Below is a relaxed structure of NbTl2WO6, with properties calculated at the PBE with a Hubbard U level.

## Properties
uncorrected energy: -138.48 eV for the cell shown
size of the total moment: 1.01 μB/f.u.

a = 5.7418 Å, b = 5.8163 Å, c = 8.2231 Å
α = 90.00°, β = 90.00°, γ = 90.00°
Space group Immm (No. 71)
Asymmetric unit:
1 Nb 0.0000 0.0000 0.0000 x2
2 Tl 0.0000 0.5000 0.2489 x4
3 W 0.0000 0.0000 0.5000 x2
4 O 0.0000 0.0000 0.2471 x4
5 O 0.2454 0.2495 0.5000 x8